# Pu2SiTe6

Crystalline Pu2SiTe6 at its relaxed geometry (GGA-PBE, Alexandria via LeMat-Bulk).

Values from the calculation:
- Fermi-level density of states (states/eV/cell) = 48.39
- V (Å³/atom) = 35.0
- magnetic moment (μB/f.u.) = 8.4
- uncorrected formation energy (eV/f.u.) = -2.90
- uncorrected energy (eV per atom) = -6.204

The structure in CIF format:
```
data_Pu2SiTe6
_space_group_name_H-M_alt 'P 42/m n m'
_space_group_IT_number 136
_space_group_name_Hall '-P 4n 2n'
_cell_length_a 6.851
_cell_length_b 6.851
_cell_length_c 13.432
_cell_angle_alpha 90.00
_cell_angle_beta 90.00
_cell_angle_gamma 90.00
loop_
_atom_site_label
_atom_site_fract_x
_atom_site_fract_y
_atom_site_fract_z
Pu1 0.000 0.000 0.164
Si1 0.000 0.000 0.500
Te1 0.187 0.187 0.346
Te2 0.215 0.215 0.000
```

***

# NaSi2TcIr

Crystalline NaSi2TcIr at its relaxed geometry (GGA-PBE, Alexandria via LeMat-Bulk).

Values from the calculation:
- Fermi-level density of states (states/eV/cell) = 5.42
- V (Å³/atom) = 20.3
- magnetic moment (μB/f.u.) = 2.4
- uncorrected formation energy (eV/f.u.) = 6.23
- uncorrected energy (eV per atom) = -5.033

The structure in CIF format:
```
data_NaSi2TcIr
_space_group_name_H-M_alt 'P 4/m m m'
_space_group_IT_number 123
_space_group_name_Hall '-P 4 2'
_cell_length_a 4.535
_cell_length_b 4.535
_cell_length_c 4.940
_cell_angle_alpha 90.00
_cell_angle_beta 90.00
_cell_angle_gamma 90.00
loop_
_atom_site_label
_atom_site_fract_x
_atom_site_fract_y
_atom_site_fract_z
Na1 0.000 0.000 0.000
Si1 0.000 0.500 0.500
Tc1 0.000 0.000 0.500
Ir1 0.500 0.500 0.000
```